Crystalline Tl2FeHg at its relaxed geometry. Source: Alexandria via LeMat-Bulk, functional PBEsol.

abc: 5.6755 5.6755 5.6755
angles: 136.60 136.60 63.05
Sites, in units of the cell vectors:
Tl (0.0000, 0.0000, 0.0000)
Tl (0.7500, 0.2500, 0.5000)
Fe (0.5000, 0.5000, 0.0000)
Hg (0.2500, 0.7500, 0.5000)

## Properties
Final energy ... -3.174 eV/atom
ΔE_f ... 0.5234 eV per atom

Crystalline TlFeHg2 at its relaxed geometry. Source: Alexandria via LeMat-Bulk, functional PBEsol.

abc: 9.5179 9.5179 9.5179
angles: 19.15 19.15 19.15
Sites, in units of the cell vectors:
Tl (0.0000, 0.0000, 0.0000)
Fe (0.7431, 0.7431, 0.7431)
Hg (0.2379, 0.2379, 0.2379)
Hg (0.4816, 0.4816, 0.4816)

## Properties
Final energy ... -2.783 eV/atom
ΔE_f ... 0.3991 eV per atom

Crystalline FeHg2W at its relaxed geometry. Source: Alexandria via LeMat-Bulk, functional PBEsol.

abc: 5.1065 5.1065 2.7764
angles: 90.00 90.00 112.31
Sites, in units of the cell vectors:
Fe (0.0000, 0.0000, 0.0000)
Hg (0.0000, 0.5000, 0.5000)
Hg (0.5000, 0.0000, 0.5000)
W (0.5000, 0.5000, 0.0000)

## Properties
Final energy ... -5.311 eV/atom
ΔE_f ... 0.6656 eV per atom

Crystalline YFeHg3 at its relaxed geometry. Source: Alexandria via LeMat-Bulk, functional PBEsol.

abc: 4.8870 4.8870 4.8870
angles: 90.00 90.00 90.00
Sites, in units of the cell vectors:
Y (0.0000, 0.0000, 0.0000)
Fe (0.5000, 0.5000, 0.5000)
Hg (0.0000, 0.5000, 0.5000)
Hg (0.5000, 0.0000, 0.5000)
Hg (0.5000, 0.5000, 0.0000)

## Properties
Final energy ... -3.346 eV/atom
ΔE_f ... 0.1512 eV per atom

Crystalline Y4FeHg at its relaxed geometry. Source: Alexandria via LeMat-Bulk, functional PBEsol.

abc: 6.0248 6.0248 6.0248
angles: 60.00 60.00 60.00
Sites, in units of the cell vectors:
Y (0.1252, 0.1252, 0.1252)
Y (0.1252, 0.1252, 0.6245)
Y (0.1252, 0.6245, 0.1252)
Y (0.6245, 0.1252, 0.1252)
Fe (0.5000, 0.5000, 0.5000)
Hg (0.7500, 0.7500, 0.7500)

## Properties
Final energy ... -5.465 eV/atom
ΔE_f ... 0.6711 eV per atom

Crystalline YFeHg at its relaxed geometry. Source: Alexandria via LeMat-Bulk, functional PBEsol.

abc: 4.4964 4.4964 3.5195
angles: 90.00 90.00 120.00
Sites, in units of the cell vectors:
Y (0.0000, 0.0000, 0.0000)
Fe (0.3333, 0.6667, 0.5000)
Hg (0.6667, 0.3333, 0.5000)

## Properties
Final energy ... -5.451 eV/atom
ΔE_f ... -0.0003 eV per atom

Crystalline YFe2Hg at its relaxed geometry. Source: Alexandria via LeMat-Bulk, functional PBEsol.

abc: 3.1456 3.1456 6.9648
angles: 90.00 90.00 90.00
Sites, in units of the cell vectors:
Y (0.0000, 0.0000, 0.0000)
Fe (0.0000, 0.0000, 0.4217)
Fe (0.5000, 0.5000, 0.2738)
Hg (0.5000, 0.5000, 0.6712)

## Properties
Final energy ... -6.268 eV/atom
ΔE_f ... 0.0613 eV per atom

Crystalline YFe2Hg at its relaxed geometry. Source: Alexandria via LeMat-Bulk, functional PBEsol.

abc: 3.3493 4.4099 5.1674
angles: 90.00 90.68 90.00
Sites, in units of the cell vectors:
Y (0.0000, 0.0000, 0.0000)
Fe (0.4603, 0.5000, 0.7873)
Fe (0.5397, 0.5000, 0.2127)
Hg (0.5000, 0.0000, 0.5000)

## Properties
Final energy ... -5.992 eV/atom
ΔE_f ... 0.3372 eV per atom

Crystalline YFe2Hg at its relaxed geometry. Source: Alexandria via LeMat-Bulk, functional PBEsol.

abc: 4.1948 4.1948 3.7122
angles: 90.00 90.00 90.00
Sites, in units of the cell vectors:
Y (0.0000, 0.0000, 0.0000)
Fe (0.0000, 0.5000, 0.5000)
Fe (0.5000, 0.0000, 0.5000)
Hg (0.5000, 0.5000, 0.0000)

## Properties
Final energy ... -6.086 eV/atom
ΔE_f ... 0.2432 eV per atom

Crystalline Zn2FeHg at its relaxed geometry. Source: Alexandria via LeMat-Bulk, functional PBEsol.

abc: 8.9726 8.9726 8.9726
angles: 18.13 18.13 18.13
Sites, in units of the cell vectors:
Zn (0.0000, 0.0000, 0.0000)
Zn (0.2527, 0.2527, 0.2527)
Fe (0.5124, 0.5124, 0.5124)
Hg (0.7604, 0.7604, 0.7604)

## Properties
Final energy ... -2.913 eV/atom
ΔE_f ... 0.2610 eV per atom

Crystalline Zn2FeHg at its relaxed geometry. Source: Alexandria via LeMat-Bulk, functional PBEsol.

abc: 2.8266 3.5636 5.8633
angles: 90.00 90.00 90.00
Sites, in units of the cell vectors:
Zn (0.0000, 0.0000, 0.0000)
Zn (0.5000, 0.5000, 0.2369)
Fe (0.0000, 0.0000, 0.4363)
Hg (0.5000, 0.5000, 0.7120)

## Properties
Final energy ... -2.966 eV/atom
ΔE_f ... 0.2071 eV per atom

Crystalline ZnFe2Hg at its relaxed geometry. Source: Alexandria via LeMat-Bulk, functional PBEsol.

abc: 2.7021 2.7021 8.1193
angles: 90.00 90.00 103.22
Sites, in units of the cell vectors:
Zn (0.0000, 0.0000, 0.0000)
Fe (0.0000, 0.0000, 0.4317)
Fe (0.5000, 0.5000, 0.2249)
Hg (0.5000, 0.5000, 0.7028)

## Properties
Final energy ... -4.745 eV/atom
ΔE_f ... 0.2742 eV per atom

What did the twelfth record say?
Crystalline ZnFe2Hg at its relaxed geometry. Source: Alexandria via LeMat-Bulk, functional PBEsol.

abc: 2.7021 2.7021 8.1193
angles: 90.00 90.00 103.22
Sites, in units of the cell vectors:
Zn (0.0000, 0.0000, 0.0000)
Fe (0.0000, 0.0000, 0.4317)
Fe (0.5000, 0.5000, 0.2249)
Hg (0.5000, 0.5000, 0.7028)

## Properties
Final energy ... -4.745 eV/atom
ΔE_f ... 0.2742 eV per atom